{"formula": "SrPb3Cl", "functional": "PBE", "state": "relaxed", "relative_energy_ev_per_atom": 0.733, "formation_energy_uncorrected_mev_per_atom": 609, "dos_at_fermi_per_ev_cell": 9.525, "lattice": [[6.2996, 0.0000, 0.0000], [0.0000, 6.2996, 0.0000], [0.0000, 0.0000, 6.2996]], "species": ["Sr", "Pb", "Pb", "Pb", "Cl"], "fractional_positions": [[0.0000, 0.0000, 0.0000], [0.0000, 0.0000, 0.5000], [0.0000, 0.5000, 0.0000], [0.5000, 0.0000, 0.0000], [0.5000, 0.5000, 0.5000]]}